Record 1
Here is BaHg2Au after structural relaxation from OQMD via LeMat-Bulk. Energies are from GGA-PBE.

Results
Its energy is -1.85 eV per atom. For the theoretical density, the calculation gives 10.97 Mg/m³. The space-group type is F-43m (216).

Cell lengths 5.400, 5.400, 5.400 Å; angles 60.00, 60.00, 60.00 degrees
Fractional positions:
Au: 0.250 0.250 0.250
Ba: 0.500 0.500 0.500
Hg: 0.000 0.000 0.000
Hg: 0.750 0.750 0.750

Record 2
Here is BaHgAu after structural relaxation from OQMD via LeMat-Bulk. Energies are from GGA-PBE.

Results
Its energy is -2.36 eV per atom. For the theoretical density, the calculation gives 8.62 Mg/m³. The space-group type is F-43m (216).

Cell lengths 5.262, 5.262, 5.262 Å; angles 60.00, 60.00, 60.00 degrees
Fractional positions:
Au: 0.000 0.000 0.000
Ba: 0.250 0.250 0.250
Hg: 0.750 0.750 0.750